No. 1
A plane-wave DFT calculation with PBE was carried out for a relaxed Zr2SiNi crystal.

Unit cell a=3.7276 b=3.7276 c=6.7100 alpha=74.02 beta=74.02 gamma=59.91
Closest atoms and distances in Å follow each position.
Fractional coordinates of all 4 atoms:
Zr (0.0012, 0.0012, 0.9949)  3 Ni 2.65-2.66, 3 Si 2.69
Zr (0.4988, 0.4988, 0.5051)  3 Ni 2.65-2.66, 3 Si 2.69
Si (0.2500, 0.2500, 0.2500)  6 Zr 2.69
Ni (0.7500, 0.7500, 0.7500)  6 Zr 2.65-2.66

raw formation energy: -111 kJ/mol of formula units
calculated total energy: -7.36 eV per atom

No. 2
A plane-wave DFT calculation with PBE was carried out for a relaxed V8NiH6 crystal.

Unit cell a=2.5838 b=7.6605 c=7.6605 alpha=120.00 beta=90.00 gamma=90.00
Closest atoms and distances in Å follow each position.
Fractional coordinates of all 15 atoms:
Ni (0.5000, 0.0000, 0.0000)  2 Ni 2.58, 6 V 2.59
V (0.1810, 0.3333, 0.6667)  6 H 1.83-1.96
V (0.2072, 0.6933, 0.6621)  3 H 1.89-2.06
V (0.7928, 0.6621, 0.9688)  3 H 1.89-2.06
V (0.8190, 0.6667, 0.3333)  6 H 1.83-1.96
V (0.7928, 0.0312, 0.6933)  3 H 1.89-2.06
V (0.7928, 0.3067, 0.3379)  3 H 1.89-2.06
V (0.2072, 0.9688, 0.3067)  3 H 1.89-2.06
V (0.2072, 0.3379, 0.0312)  3 H 1.89-2.06
H (0.7175, 0.1420, 0.4986)  4 V 1.83-1.96
H (0.7175, 0.5014, 0.6434)  4 V 1.83-1.96
H (0.2825, 0.6434, 0.1420)  4 V 1.83-1.96
H (0.2825, 0.8580, 0.5014)  4 V 1.83-1.96
H (0.2825, 0.4986, 0.3566)  4 V 1.83-1.96
H (0.7175, 0.3566, 0.8580)  4 V 1.83-1.96

calculated total energy: -6.68 eV per atom

No. 3
A plane-wave DFT calculation with PBE was carried out for a relaxed SrZrIn4 crystal.

Unit cell a=6.0164 b=6.0164 c=6.0164 alpha=60.00 beta=60.00 gamma=60.00
Closest atoms and distances in Å follow each position.
Fractional coordinates of all 6 atoms:
Zr (0.0000, 0.0000, 0.0000)  12 In 3.53, 4 Sr 3.68
In (0.3745, 0.3745, 0.3745)  6 In 3.00-3.02
In (0.8765, 0.3745, 0.3745)  6 In 3.00-3.02
In (0.3745, 0.3745, 0.8765)  6 In 3.00-3.02
In (0.3745, 0.8765, 0.3745)  6 In 3.00-3.02
Sr (0.7500, 0.7500, 0.7500)  12 In 3.53, 4 Zr 3.68

calculated total energy: -3.64 eV per atom

No. 4
A plane-wave DFT calculation with PBE was carried out for a relaxed PaZnCdRu crystal.

Unit cell a=4.7856 b=4.7856 c=4.7856 alpha=60.00 beta=60.00 gamma=60.00
Closest atoms and distances in Å follow each position.
Fractional coordinates of all 4 atoms:
Cd (0.0000, 0.0000, 0.0000)  4 Ru 2.93, 4 Zn 2.93
Ru (0.7500, 0.7500, 0.7500)  4 Cd 2.93, 4 Pa 2.93
Pa (0.5000, 0.5000, 0.5000)  4 Ru 2.93, 4 Zn 2.93
Zn (0.2500, 0.2500, 0.2500)  4 Cd 2.93, 4 Pa 2.93

calculated total energy: -5.23 eV per atom

No. 5
A plane-wave DFT calculation with PBE was carried out for a relaxed NbPbIO2 crystal.

Unit cell a=4.1077 b=6.4519 c=4.1077 alpha=90.00 beta=90.00 gamma=90.00
Closest atoms and distances in Å follow each position.
Fractional coordinates of all 5 atoms:
O (0.5000, 0.0000, 0.0000)  2 I 2.05
O (0.0000, 0.0000, 0.5000)  2 I 2.05
I (0.0000, 0.0000, 0.0000)  4 O 2.05
Nb (0.5000, 0.5000, 0.5000)  4 Pb 2.90
Pb (0.0000, 0.5000, 0.0000)  4 Nb 2.90, 2 I 3.23

raw formation energy: 302 kJ/mol of formula units
calculated total energy: -4.42 eV per atom

No. 6
A plane-wave DFT calculation with PBE was carried out for a relaxed ThSc2I crystal.

Unit cell a=3.6127 b=3.6127 c=10.0409 alpha=79.64 beta=79.64 gamma=60.00
Closest atoms and distances in Å follow each position.
Fractional coordinates of all 4 atoms:
Sc (0.2550, 0.2550, 0.2349)  3 I 3.11, 3 Th 3.34
Sc (0.7450, 0.7450, 0.7651)  3 I 3.11, 3 Th 3.34
Th (0.5000, 0.5000, 0.5000)  6 Sc 3.34, 6 Th 3.61
I (0.0000, 0.0000, 0.0000)  6 Sc 3.11

raw formation energy: -97 kJ/mol of formula units
calculated total energy: -5.66 eV per atom

No. 7
A plane-wave DFT calculation with PBE was carried out for a relaxed InRuC3 crystal.

Unit cell a=4.1845 b=4.1845 c=4.1845 alpha=90.00 beta=90.00 gamma=90.00
Closest atoms and distances in Å follow each position.
Fractional coordinates of all 5 atoms:
C (0.0000, 0.0000, 0.5000)  2 In 2.09
C (0.5000, 0.0000, 0.0000)  2 In 2.09
C (0.0000, 0.5000, 0.0000)  2 In 2.09
In (0.0000, 0.0000, 0.0000)  6 C 2.09
Ru (0.5000, 0.5000, 0.5000)  12 C 2.96

calculated total energy: -4.41 eV per atom

No. 8
A plane-wave DFT calculation with PBE was carried out for a relaxed Na4Pu3Se8 crystal.

Unit cell a=8.3540 b=8.3540 c=8.8858 alpha=61.96 beta=61.96 gamma=60.00
Closest atoms and distances in Å follow each position.
Fractional coordinates of all 15 atoms:
Na (0.3595, 0.3595, 0.9216)  4 Se 2.81-3.00, 1 Na 3.15
Na (0.5000, 0.5000, 0.5000)  6 Se 3.00, 2 Na 3.15
Na (0.0000, 0.0000, 0.0000)  6 Se 3.13
Na (0.6405, 0.6405, 0.0784)  4 Se 2.81-3.00, 1 Na 3.15
Pu (0.5000, 0.0000, 0.5000)  6 Se 2.82-2.84
Pu (0.0000, 0.5000, 0.5000)  6 Se 2.82-2.84
Pu (0.0000, 0.0000, 0.5000)  6 Se 2.82-2.84
Se (0.7466, 0.2174, 0.2895)  2 Pu 2.82, 3 Na 3.00-3.13
Se (0.2337, 0.2337, 0.2988)  1 Na 2.81, 3 Pu 2.84
Se (0.2534, 0.7826, 0.7105)  2 Pu 2.82, 3 Na 3.00-3.13
Se (0.2174, 0.7466, 0.2895)  2 Pu 2.82, 3 Na 3.00-3.13
Se (0.2534, 0.2534, 0.7105)  2 Pu 2.82, 3 Na 3.00-3.13
Se (0.7826, 0.2534, 0.7105)  2 Pu 2.82, 3 Na 3.00-3.13
Se (0.7466, 0.7466, 0.2895)  2 Pu 2.82, 3 Na 3.00-3.13
Se (0.7663, 0.7663, 0.7012)  1 Na 2.81, 3 Pu 2.84

raw formation energy: -1740 kJ/mol of formula units
calculated total energy: -6.28 eV per atom

No. 9
A plane-wave DFT calculation with PBE was carried out for a relaxed Sc3Se crystal.

Unit cell a=5.6003 b=5.6003 c=5.6003 alpha=116.08 beta=116.08 gamma=116.08
Closest atoms and distances in Å follow each position.
Fractional coordinates of all 4 atoms:
Sc (0.0000, 0.5000, 0.5000)  4 Sc 2.96, 2 Se 2.96
Sc (0.0000, 0.0000, 0.0000)  2 Se 2.96, 4 Sc 2.96
Sc (0.5000, 0.0000, 0.5000)  4 Sc 2.96, 2 Se 2.96
Se (0.5000, 0.5000, 0.0000)  6 Sc 2.96

raw formation energy: -143 kJ/mol of formula units
calculated total energy: -5.99 eV per atom

No. 10
A plane-wave DFT calculation with PBE was carried out for a relaxed La2SmErTm2 crystal.

Unit cell a=5.7459 b=6.3397 c=11.0091 alpha=90.00 beta=90.00 gamma=90.00
Closest atoms and distances in Å follow each position.
Fractional coordinates of all 12 atoms:
Tm (0.0000, 0.3418, 0.9143)  7 La 3.56-3.72, 2 Sm 3.58, 1 Er 3.68, 2 Tm 3.69
Tm (0.5000, 0.6717, 0.5775)  4 Er 3.52-3.56, 3 Sm 3.55-3.70, 3 La 3.59-3.73, 2 Tm 3.60
Tm (0.0000, 0.8418, 0.0857)  7 La 3.56-3.72, 2 Sm 3.58, 1 Er 3.68, 2 Tm 3.69
Tm (0.5000, 0.1717, 0.4225)  4 Er 3.52-3.56, 3 Sm 3.55-3.70, 3 La 3.59-3.73, 2 Tm 3.60
Sm (0.5000, 0.6781, 0.2552)  5 Tm 3.55-3.70, 2 Er 3.55, 5 La 3.59-3.73
Sm (0.5000, 0.1781, 0.7448)  5 Tm 3.55-3.70, 2 Er 3.55, 5 La 3.59-3.73
La (0.5000, 0.1747, 0.0840)  5 Tm 3.56-3.73, 4 La 3.57-3.67, 3 Sm 3.67-3.73
La (0.5000, 0.6747, 0.9160)  5 Tm 3.56-3.73, 4 La 3.57-3.67, 3 Sm 3.67-3.73
La (0.0000, 0.8390, 0.7478)  2 La 3.57, 2 Sm 3.59, 5 Tm 3.59-3.72, 3 Er 3.61-3.68
La (0.0000, 0.3390, 0.2522)  2 La 3.57, 2 Sm 3.59, 5 Tm 3.59-3.72, 3 Er 3.61-3.68
Er (0.0000, 0.3404, 0.5803)  5 Tm 3.52-3.68, 2 Sm 3.55, 3 La 3.61-3.68, 2 Er 3.63
Er (0.0000, 0.8404, 0.4197)  5 Tm 3.52-3.68, 2 Sm 3.55, 3 La 3.61-3.68, 2 Er 3.63

calculated total energy: -4.65 eV per atom

No. 11
A plane-wave DFT calculation with PBE was carried out for a relaxed Ac16Co3Ni5 crystal.

Unit cell a=8.4559 b=8.4559 c=13.7909 alpha=90.05 beta=90.05 gamma=59.91
Closest atoms and distances in Å follow each position.
Fractional coordinates of all 24 atoms:
Ac (0.4947, 0.0185, 0.1621)  1 Co 2.87, 2 Ni 2.95-2.97
Ac (0.1580, 0.6738, 0.9047)  1 Co 2.92, 2 Ni 2.97-3.00
Ac (0.9827, 0.5132, 0.6595)  1 Co 2.89, 2 Ni 2.96
Ac (0.8370, 0.8370, 0.4018)  2 Co 2.93, 1 Ni 3.04
Ac (0.8306, 0.3251, 0.4040)  1 Co 2.90, 2 Ni 2.95-3.00
Ac (0.0185, 0.4947, 0.1621)  1 Co 2.87, 2 Ni 2.95-2.97
Ac (0.4909, 0.4909, 0.1612)  2 Co 2.90, 1 Ni 2.98
Ac (0.1641, 0.1641, 0.9070)  3 Ni 2.94-2.95
Ac (0.9965, 0.9965, 0.1709)  2 Co 2.87, 1 Ni 2.95
Ac (0.6722, 0.6722, 0.9002)  1 Co 2.87, 2 Ni 2.93
Ac (0.3251, 0.8306, 0.4040)  1 Co 2.90, 2 Ni 2.95-3.00
Ac (0.5132, 0.9827, 0.6595)  1 Co 2.89, 2 Ni 2.96
Ac (0.5098, 0.5098, 0.6610)  3 Ni 2.93-2.94
Ac (0.9972, 0.9972, 0.6700)  1 Co 2.85, 2 Ni 2.94
Ac (0.6738, 0.1580, 0.9047)  1 Co 2.92, 2 Ni 2.97-3.00
Ac (0.3369, 0.3369, 0.3983)  2 Co 2.89, 1 Ni 2.94
Ni (0.1664, 0.1664, 0.2853)  6 Ac 2.94-2.95
Ni (0.6653, 0.6653, 0.5259)  6 Ac 2.94-3.04
Ni (0.3348, 0.8342, 0.7851)  6 Ac 2.93-2.97
Ni (0.8342, 0.3348, 0.7851)  6 Ac 2.93-2.97
Ni (0.3323, 0.3323, 0.0254)  6 Ac 2.95-3.00
Co (0.8333, 0.8333, 0.7816)  6 Ac 2.85-2.92
Co (0.1675, 0.6652, 0.2825)  6 Ac 2.87-2.93
Co (0.6652, 0.1675, 0.2825)  6 Ac 2.87-2.93

calculated total energy: -4.94 eV per atom

No. 12
A plane-wave DFT calculation with PBE was carried out for a relaxed Y2NiBr crystal.

Unit cell a=3.4491 b=3.5131 c=8.2134 alpha=89.92 beta=90.00 gamma=90.00
Closest atoms and distances in Å follow each position.
Fractional coordinates of all 4 atoms:
Y (0.0000, 0.2513, 0.5546)  4 Ni 2.94, 2 Br 3.04, 1 Y 3.21
Y (0.0000, 0.2487, 0.9454)  4 Ni 2.94, 2 Br 3.04, 1 Y 3.21
Br (0.5000, 0.2500, 0.2500)  4 Y 3.04
Ni (0.5000, 0.7500, 0.7500)  8 Y 2.94

raw formation energy: -260 kJ/mol of formula units
calculated total energy: -5.77 eV per atom

No. 13
A plane-wave DFT calculation with PBE was carried out for a relaxed BeSi2GeC crystal.

Unit cell a=3.8588 b=4.6832 c=3.8588 alpha=90.00 beta=90.00 gamma=90.00
Closest atoms and distances in Å follow each position.
Fractional coordinates of all 5 atoms:
Be (0.5000, 0.5000, 0.5000)  4 Ge 2.73, 8 Si 3.03
C (0.0000, 0.0000, 0.0000)  4 Si 1.93
Ge (0.0000, 0.5000, 0.0000)  2 C 2.34
Si (0.0000, 0.0000, 0.5000)  2 C 1.93
Si (0.5000, 0.0000, 0.0000)  2 C 1.93

raw formation energy: 521 kJ/mol of formula units
calculated total energy: -4.60 eV per atom

No. 14
A plane-wave DFT calculation with PBE was carried out for a relaxed Mo2P crystal.

Unit cell a=4.8204 b=4.8204 c=4.8204 alpha=106.86 beta=106.86 gamma=114.84
Closest atoms and distances in Å follow each position.
Fractional coordinates of all 6 atoms:
Mo (0.3330, 0.8330, 0.1660)  4 P 2.50, 1 Mo 2.71
Mo (0.8330, 0.6670, 0.5000)  4 P 2.50, 1 Mo 2.71
Mo (0.6670, 0.1670, 0.8340)  4 P 2.50, 1 Mo 2.71
Mo (0.1670, 0.3330, 0.5000)  4 P 2.50, 1 Mo 2.71
P (0.7500, 0.7500, 0.0000)  8 Mo 2.50, 2 P 2.60
P (0.2500, 0.2500, 0.0000)  8 Mo 2.50, 2 P 2.60

calculated total energy: -9.35 eV per atom

No. 15
A plane-wave DFT calculation with PBE was carried out for a relaxed AlGaRu2 crystal.

Unit cell a=4.2749 b=4.2748 c=4.2723 alpha=60.01 beta=60.04 gamma=59.98
Closest atoms and distances in Å follow each position.
Fractional coordinates of all 4 atoms:
Ru (0.5001, 0.5001, 0.4999)  4 Al 2.62, 4 Ga 2.62
Ru (0.9999, 0.0000, 0.0001)  4 Al 2.62, 4 Ga 2.62
Ga (0.2500, 0.2500, 0.2500)  8 Ru 2.62
Al (0.7500, 0.7499, 0.7501)  8 Ru 2.62

calculated total energy: -6.82 eV per atom

No. 16
A plane-wave DFT calculation with PBE was carried out for a relaxed Ac4SmDy crystal.

Unit cell a=7.1455 b=7.1455 c=7.1455 alpha=60.00 beta=60.00 gamma=60.00
Closest atoms and distances in Å follow each position.
Fractional coordinates of all 6 atoms:
Ac (0.1239, 0.6254, 0.6254)  6 Ac 3.56-3.58
Ac (0.6254, 0.6254, 0.1239)  6 Ac 3.56-3.58
Ac (0.6254, 0.6254, 0.6254)  6 Ac 3.56-3.58
Ac (0.6254, 0.1239, 0.6254)  6 Ac 3.56-3.58
Sm (0.2500, 0.2500, 0.2500)  12 Ac 4.19, 4 Dy 4.38
Dy (0.0000, 0.0000, 0.0000)  12 Ac 4.19, 4 Sm 4.38

calculated total energy: -3.92 eV per atom

No. 17
A plane-wave DFT calculation with PBE was carried out for a relaxed LaAlBr2 crystal.

Unit cell a=10.1332 b=10.1332 c=10.1332 alpha=23.27 beta=23.27 gamma=23.27
Closest atoms and distances in Å follow each position.
Fractional coordinates of all 4 atoms:
La (0.0000, 0.0000, 0.0000)  2 Br 2.93
Br (0.0990, 0.0990, 0.0990)  1 La 2.93, 3 Al 3.09
Br (0.9010, 0.9010, 0.9010)  1 La 2.93, 3 Al 3.09
Al (0.5000, 0.5000, 0.5000)  6 Br 3.09

raw formation energy: -201 kJ/mol of formula units
calculated total energy: -3.53 eV per atom

No. 18
A plane-wave DFT calculation with PBE was carried out for a relaxed CsCa4Mo2 crystal.

Unit cell a=6.0608 b=6.0608 c=8.6553 alpha=69.51 beta=69.51 gamma=90.00
Closest atoms and distances in Å follow each position.
Fractional coordinates of all 7 atoms:
Ca (0.7723, 0.7723, 0.4553)  1 Mo 3.04
Ca (0.0000, 0.5000, 0.0000)  2 Cs 3.03, 4 Mo 3.21
Ca (0.2277, 0.2277, 0.5447)  1 Mo 3.04
Ca (0.5000, 0.0000, 0.0000)  2 Cs 3.03, 4 Mo 3.21
Mo (0.5700, 0.5700, 0.8599)  1 Mo 2.11
Mo (0.4300, 0.4300, 0.1401)  1 Mo 2.11
Cs (0.0000, 0.0000, 0.0000)  4 Ca 3.03

calculated total energy: -3.21 eV per atom

No. 19
A plane-wave DFT calculation with PBE was carried out for a relaxed PmNbGe2 crystal.

Unit cell a=3.5305 b=3.5305 c=6.4854 alpha=90.00 beta=90.00 gamma=90.00
Closest atoms and distances in Å follow each position.
Fractional coordinates of all 4 atoms:
Ge (0.0000, 0.0000, 0.2004)  1 Ge 2.60, 4 Nb 2.81
Ge (0.0000, 0.0000, 0.7996)  1 Ge 2.60, 4 Nb 2.81
Nb (0.5000, 0.5000, 0.0000)  8 Ge 2.81
Pm (0.5000, 0.5000, 0.5000)  8 Ge 3.16, 2 Nb 3.24, 4 Pm 3.53

calculated total energy: -6.42 eV per atom

No. 20
A plane-wave DFT calculation with PBE was carried out for a relaxed HoMgTlTe3 crystal.

Unit cell a=4.4861 b=9.4994 c=10.5001 alpha=106.53 beta=90.00 gamma=90.00
Closest atoms and distances in Å follow each position.
Fractional coordinates of all 12 atoms:
Te (0.2500, 0.1085, 0.8785)  1 Mg 2.77
Te (0.7500, 0.2223, 0.5398)  3 Mg 2.81-2.86
Te (0.7500, 0.4572, 0.1638)  3 Ho 3.04-3.09
Te (0.7500, 0.8915, 0.1215)  1 Mg 2.77
Te (0.2500, 0.7777, 0.4602)  3 Mg 2.81-2.86
Te (0.2500, 0.5428, 0.8362)  3 Ho 3.04-3.09
Tl (0.7500, 0.7942, 0.7813)  5 Te 3.43-3.64
Tl (0.2500, 0.2058, 0.2187)  5 Te 3.43-3.64
Ho (0.7500, 0.3301, 0.8633)  6 Te 3.04-3.26
Ho (0.2500, 0.6699, 0.1367)  6 Te 3.04-3.26
Mg (0.7500, 0.9187, 0.3908)  4 Te 2.77-2.86
Mg (0.2500, 0.0813, 0.6092)  4 Te 2.77-2.86

raw formation energy: -553 kJ/mol of formula units
calculated total energy: -3.95 eV per atom